P.
Material: Y5In
Method: DFT, GGA-PBEsol
State: relaxed

Values from the calculation:
* SG: P4/mmm, No. 123
* calculated density: 5323 kg/m3
* volume: 29.1 A^3/atom

Cell lengths 3.5194, 3.5194, 14.0871 Å; angles 90.00, 90.00, 90.00 degrees
With the nearest neighbours (Å) after each atom.
Atoms (fractional coordinates):
Y: 0.0000 0.0000 0.0000  12 Y 3.51-3.52
Y: 0.0000 0.0000 0.3532  4 In 3.24, 8 Y 3.52-3.53
Y: 0.0000 0.0000 0.6468  4 In 3.24, 8 Y 3.52-3.53
Y: 0.5000 0.5000 0.1753  12 Y 3.51-3.53
Y: 0.5000 0.5000 0.8247  12 Y 3.51-3.53
In: 0.5000 0.5000 0.5000  8 Y 3.24, 4 In 3.52

Q.
Material: Y5In
Method: DFT, GGA-PBEsol
State: relaxed

Values from the calculation:
* SG: P-62m, No. 189
* calculated density: 5412 kg/m3
* volume: 28.6 A^3/atom

Cell lengths 6.0087, 6.0087, 5.4891 Å; angles 90.00, 90.00, 120.00 degrees
With the nearest neighbours (Å) after each atom.
Atoms (fractional coordinates):
Y: 0.0000 0.3135 0.0000  10 Y 3.26-3.58, 2 In 3.33
Y: 0.3135 0.0000 0.0000  10 Y 3.26-3.58, 2 In 3.33
Y: 0.3333 0.6667 0.5000  9 Y 3.43-3.47, 3 In 3.47
Y: 0.6667 0.3333 0.5000  9 Y 3.43-3.47, 3 In 3.47
Y: 0.6865 0.6865 0.0000  10 Y 3.26-3.58, 2 In 3.33
In: 0.0000 0.0000 0.5000  12 Y 3.33-3.47

Verdict on stability: Q comes out at the bottom.

P.
Material: Y5In3
Method: DFT, GGA-PBEsol
State: relaxed

Values from the calculation:
* SG: P6_3/mcm, No. 193
* calculated density: 5859 kg/m3
* volume: 28.0 A^3/atom

Cell lengths 8.9524, 8.9524, 6.4439 Å; angles 90.00, 90.00, 120.00 degrees
With the nearest neighbours (Å) after each atom.
Atoms (fractional coordinates):
Y: 0.0000 0.2368 0.2500  3 In 3.13-3.24
Y: 0.0000 0.7632 0.7500  3 In 3.13-3.24
Y: 0.2368 0.0000 0.2500  3 In 3.13-3.24
Y: 0.2368 0.2368 0.7500  3 In 3.13-3.24
Y: 0.3333 0.6667 0.0000  6 In 3.17, 2 Y 3.22
Y: 0.3333 0.6667 0.5000  6 In 3.17, 2 Y 3.22
Y: 0.6667 0.3333 0.0000  6 In 3.17, 2 Y 3.22
Y: 0.6667 0.3333 0.5000  6 In 3.17, 2 Y 3.22
Y: 0.7632 0.0000 0.7500  3 In 3.13-3.24
Y: 0.7632 0.7632 0.2500  3 In 3.13-3.24
In: 0.0000 0.4015 0.7500  7 Y 3.13-3.24
In: 0.0000 0.5985 0.2500  7 Y 3.13-3.24
In: 0.4015 0.0000 0.7500  7 Y 3.13-3.24
In: 0.4015 0.4015 0.2500  7 Y 3.13-3.24
In: 0.5985 0.0000 0.2500  7 Y 3.13-3.24
In: 0.5985 0.5985 0.7500  7 Y 3.13-3.24

Q.
Material: Y5In3
Method: DFT, GGA-PBEsol
State: relaxed

Values from the calculation:
* SG: Cmmm, No. 65
* calculated density: 6074 kg/m3
* volume: 27.0 A^3/atom

Cell lengths 6.6352, 6.6352, 5.1009 Å; angles 90.00, 90.00, 106.17 degrees
With the nearest neighbours (Å) after each atom.
Atoms (fractional coordinates):
Y: 0.0000 0.0000 0.0000  8 Y 3.32-3.41, 4 In 3.40
Y: 0.0000 0.5000 0.0000  6 In 3.26-3.32, 2 Y 3.32
Y: 0.2841 0.2841 0.5000  4 In 3.08-3.19, 3 Y 3.41-3.44
Y: 0.5000 0.0000 0.0000  6 In 3.26-3.32, 2 Y 3.32
Y: 0.7159 0.7159 0.5000  4 In 3.08-3.19, 3 Y 3.41-3.44
In: 0.2116 0.7884 0.5000  10 Y 3.19-3.51
In: 0.5000 0.5000 0.0000  8 Y 3.08-3.32
In: 0.7884 0.2116 0.5000  10 Y 3.19-3.51

Verdict on stability: Q comes out at the bottom.